Rb2NaCu2I6 | PBE | optimized geometry

Lattice parameters (Å, degrees): 8.329 8.329 9.480 115.45 115.45 56.12
Atoms (fractional coordinates):
1 Rb 0.209 0.209 0.212
2 Rb 0.791 0.791 0.788
3 Na 0.000 0.000 0.500
4 Cu 0.447 0.447 0.748
5 Cu 0.553 0.553 0.252
6 I 0.181 0.696 0.193
7 I 0.254 0.254 0.632
8 I 0.304 0.819 0.807
9 I 0.696 0.181 0.193
10 I 0.746 0.746 0.368
11 I 0.819 0.304 0.807

Properties
**Calculated density**: 3.77 g/cm³
**Size of the total moment**: 0.000 μB per formula unit
**Uncorrected formation energy**: -77.2 kJ per mole of atoms
**DOS at the Fermi energy**: 5.63 states/eV/cell